Entry 1
## Te2HRu (PBE-GGA)

Data for a relaxed structure of Te2HRu.

For the volume, the calculation gives 18.40 Å³ per atom. The density of states at the Fermi level is 0.84 states/eV/atom.

The space group is R-3m (No. 166, hexagonal axes) and the conventional cell measures 3.1857, 3.1857 and 25.1177 Å, with angles of 90.00, 90.00 and 120.00 degrees. Symmetry generates all atoms from Te at (0.0000, 0.0000, 0.1009), H at (0.0000, 0.0000, 0.5000) and Ru at (0.0000, 0.0000, 0.0000).

=====

Entry 2
## Te2HRu (PBE-GGA)

Data for a relaxed structure of Te2HRu.

For the volume, the calculation gives 23.17 Å³ per atom. The density of states at the Fermi level is 0.84 states/eV/atom.

The space group is R-3m (No. 166, hexagonal axes) and the conventional cell measures 4.0663, 4.0663 and 19.4135 Å, with angles of 90.00, 90.00 and 120.00 degrees. Symmetry generates all atoms from Te at (0.0000, 0.0000, 0.1014), H at (0.0000, 0.0000, 0.0000) and Ru at (0.0000, 0.0000, 0.5000).

=====

Which one sits at the top of the stability order? entry 2 does.

=====

Entry 1
## Te3HRu (PBE-GGA)

Data for a relaxed structure of Te3HRu.

For the volume, the calculation gives 28.93 Å³ per atom. The density of states at the Fermi level is 1.29 states/eV/atom.

The space group is Pm-3m (No. 221) and the conventional cell measures 5.249, 5.249 and 5.249 Å, with angles of 90.00, 90.00 and 90.00 degrees. Symmetry generates all atoms from Te at (0.000, 0.000, 0.500), H at (0.500, 0.500, 0.500) and Ru at (0.000, 0.000, 0.000).

=====

Entry 2
## Te3HRu (PBE-GGA)

Data for a relaxed structure of Te3HRu.

For the volume, the calculation gives 19.13 Å³ per atom. The density of states at the Fermi level is 0.56 states/eV/atom.

The space group is Pm-3m (No. 221) and the conventional cell measures 4.573, 4.573 and 4.573 Å, with angles of 90.00, 90.00 and 90.00 degrees. Symmetry generates all atoms from Te at (0.000, 0.000, 0.500), H at (0.000, 0.000, 0.000) and Ru at (0.500, 0.500, 0.500).

=====

Which one sits at the top of the stability order? entry 1 does.

=====

Entry 1
## TeH2Ru2 (PBE-GGA)

Data for a relaxed structure of TeH2Ru2.

For the volume, the calculation gives 11.21 Å³ per atom. The density of states at the Fermi level is 0.92 states/eV/atom.

The space group is I4/mmm (No. 139) and the conventional cell measures 3.221, 3.221 and 10.806 Å, with angles of 90.00, 90.00 and 90.00 degrees. Symmetry generates all atoms from Te at (0.000, 0.000, 0.000), H at (0.000, 0.500, 0.250) and Ru at (0.000, 0.000, 0.352).

=====

Entry 2
## TeH2Ru2 (PBE-GGA)

Data for a relaxed structure of TeH2Ru2.

For the volume, the calculation gives 12.95 Å³ per atom. The density of states at the Fermi level is 0.64 states/eV/atom.

The space group is P4/mbm (No. 127) and the conventional cell measures 6.706, 6.706 and 2.881 Å, with angles of 90.00, 90.00 and 90.00 degrees. Symmetry generates all atoms from Te at (0.000, 0.000, 0.000), H at (0.087, 0.413, 0.500) and Ru at (0.126, 0.626, 0.000).

=====

Which one sits at the top of the stability order? entry 1 does.